# 1
Sc3Zn7Ga2 | the Alexandria database | PBE | relaxed; energy = -3.12 eV per atom; magnetization = 0.00 Bohr magnetons per cell; energy relative to the elements = -0.2885 eV/atom
1.0
5.291 0.000 0.000
2.645 4.582 0.000
2.645 1.527 8.396
Sc Zn Ga
3 7 2
Direct
0.000 0.000 0.000 Sc
0.142 0.142 0.573 Sc
0.858 0.858 0.427 Sc
0.922 0.411 0.257 Zn
0.411 0.922 0.257 Zn
0.589 0.589 0.743 Zn
0.500 0.500 0.500 Zn
0.078 0.589 0.743 Zn
0.411 0.411 0.257 Zn
0.589 0.078 0.743 Zn
0.335 0.335 0.995 Ga
0.665 0.665 0.005 Ga



# 2
Sc4ZnGa | the Alexandria database | PBE | relaxed; energy = -5.25 eV per atom; magnetization = 1.14 Bohr magnetons per cell; ΔE to the lowest computed polymorph = 0 meV/atom; energy relative to the elements = -0.3156 eV/atom
1.0
3.134 0.555 -0.601
0.689 7.614 1.888
-0.847 1.897 6.061
Zn Sc Ga
1 4 1
Direct
0.000 0.000 0.000 Zn
0.674 0.674 0.023 Sc
0.825 0.825 0.476 Sc
0.175 0.175 0.524 Sc
0.326 0.326 0.977 Sc
0.500 0.500 0.500 Ga



# 3
Sc5Zn4Ga | the Alexandria database | PBE | relaxed; energy = -4.40 eV per atom; magnetization = 0.00 Bohr magnetons per cell; energy relative to the elements = -0.4262 eV/atom
1.0
3.352 0.000 0.000
0.000 3.352 0.000
0.000 0.000 16.734
Zn Sc Ga
4 5 1
Direct
0.000 0.000 0.202 Zn
0.000 0.000 0.798 Zn
0.000 0.000 0.399 Zn
0.000 0.000 0.601 Zn
0.500 0.500 0.101 Sc
0.500 0.500 0.300 Sc
0.500 0.500 0.700 Sc
0.500 0.500 0.500 Sc
0.500 0.500 0.899 Sc
0.000 0.000 0.000 Ga



# 4
Sc3Zn2Ga3 | the Alexandria database | PBE | relaxed; energy = -4.34 eV per atom; magnetization = 0.38 Bohr magnetons per cell; energy relative to the elements = -0.5155 eV/atom
1.0
4.186 0.000 0.000
-2.093 5.098 0.000
0.000 0.000 13.774
Ga Zn Sc
6 4 6
Direct
0.608 0.217 0.044 Ga
0.392 0.783 0.544 Ga
0.608 0.217 0.456 Ga
0.392 0.783 0.956 Ga
0.364 0.728 0.250 Ga
0.636 0.272 0.750 Ga
0.786 0.572 0.899 Zn
0.214 0.428 0.101 Zn
0.214 0.428 0.399 Zn
0.786 0.572 0.601 Zn
0.079 0.158 0.614 Sc
0.921 0.842 0.386 Sc
0.079 0.158 0.886 Sc
0.650 0.300 0.250 Sc
0.350 0.700 0.750 Sc
0.921 0.842 0.114 Sc



# 5
Sc5Zn2Ga5 | the Alexandria database | PBE | relaxed; energy = -4.64 eV per atom; magnetization = 0.00 Bohr magnetons per cell; energy relative to the elements = -0.5301 eV/atom
1.0
-4.059 -1.173 -0.903
-1.823 -5.399 4.869
-4.533 5.522 2.872
Ga Sc Zn
5 5 2
Direct
0.000 0.000 0.000 Ga
0.295 0.754 0.656 Ga
0.969 0.269 0.793 Ga
0.705 0.246 0.344 Ga
0.031 0.731 0.207 Ga
0.313 0.299 0.076 Sc
0.666 0.004 0.664 Sc
0.000 0.500 0.500 Sc
0.334 0.996 0.336 Sc
0.687 0.701 0.924 Sc
0.415 0.430 0.740 Zn
0.585 0.570 0.260 Zn



# 6
Sc4Zn5Ga6 | the Alexandria database | PBE | relaxed; energy = -3.67 eV per atom; magnetization = 0.00 Bohr magnetons per cell; energy relative to the elements = -0.3456 eV/atom
1.0
-2.888 3.011 0.088
1.552 -1.680 9.423
9.939 9.530 0.063
Zn Ga Sc
10 12 8
Direct
0.542 0.084 0.174 Zn
0.836 0.672 0.142 Zn
0.317 0.635 0.612 Zn
0.346 0.692 0.959 Zn
0.669 0.338 0.791 Zn
0.458 0.916 0.674 Zn
0.331 0.662 0.291 Zn
0.164 0.328 0.642 Zn
0.654 0.308 0.459 Zn
0.683 0.365 0.112 Zn
0.574 0.149 0.940 Ga
0.546 0.092 0.356 Ga
0.091 0.182 0.095 Ga
0.587 0.174 0.632 Ga
0.223 0.446 0.474 Ga
0.254 0.508 0.775 Ga
0.454 0.908 0.856 Ga
0.746 0.492 0.275 Ga
0.413 0.826 0.132 Ga
0.426 0.851 0.440 Ga
0.909 0.818 0.595 Ga
0.777 0.554 0.974 Ga
0.855 0.709 0.788 Sc
0.182 0.364 0.945 Sc
0.044 0.088 0.500 Sc
0.818 0.636 0.445 Sc
0.958 0.915 0.270 Sc
0.145 0.291 0.288 Sc
0.956 0.912 0.000 Sc
0.042 0.085 0.770 Sc



# 7
Sc2Zn16Ga | the Alexandria database | PBE | relaxed; energy = -2.06 eV per atom; magnetization = 0.00 Bohr magnetons per cell; energy relative to the elements = -0.1642 eV/atom
1.0
-5.609 -3.690 0.381
-0.446 -0.144 6.708
-4.316 5.114 0.656
Sc Zn Ga
2 16 1
Direct
0.668 0.668 0.668 Sc
0.332 0.332 0.332 Sc
0.836 0.351 0.351 Zn
0.691 0.000 0.310 Zn
0.000 0.691 0.310 Zn
0.002 0.002 0.496 Zn
0.310 0.000 0.691 Zn
0.002 0.496 0.002 Zn
0.646 0.646 0.171 Zn
0.496 0.002 0.002 Zn
0.171 0.646 0.646 Zn
0.351 0.836 0.351 Zn
0.351 0.351 0.836 Zn
0.098 0.098 0.098 Zn
0.310 0.691 0.000 Zn
0.646 0.171 0.646 Zn
0.000 0.310 0.691 Zn
0.691 0.310 0.000 Zn
0.898 0.898 0.898 Ga



# 8
Sc2ZnGa | the Alexandria database | PBE | relaxed; energy = -4.33 eV per atom; magnetization = 0.00 Bohr magnetons per cell; ΔE to the lowest computed polymorph = 431 meV/atom; energy relative to the elements = -0.0860 eV/atom
1.0
-1.130 -5.233 -5.044
0.850 -5.165 5.167
-3.196 -5.110 0.654
Sc Ga Zn
4 2 2
Direct
0.875 0.870 0.750 Sc
0.620 0.125 0.250 Sc
0.375 0.380 0.750 Sc
0.130 0.625 0.250 Sc
0.000 0.000 0.000 Ga
0.750 0.250 0.500 Ga
0.250 0.750 0.500 Zn
0.500 0.500 0.000 Zn



# 9
Sc6ZnGa5 | the Alexandria database | PBE | relaxed; energy = -5.11 eV per atom; magnetization = 0.00 Bohr magnetons per cell; energy relative to the elements = -0.5756 eV/atom
1.0
-0.484 -3.911 -2.662
5.727 1.380 -3.069
3.305 -5.741 3.585
Sc Ga Zn
6 5 1
Direct
0.500 0.749 0.000 Sc
0.167 0.249 0.666 Sc
0.833 0.249 0.334 Sc
0.167 0.751 0.666 Sc
0.833 0.751 0.334 Sc
0.500 0.251 0.000 Sc
0.000 0.500 0.000 Ga
0.663 0.000 0.674 Ga
0.337 0.000 0.326 Ga
0.667 0.500 0.667 Ga
0.333 0.500 0.333 Ga
0.000 0.000 0.000 Zn



# 10
Sc4Zn5Ga2 | the Alexandria database | PBE | relaxed; energy = -3.78 eV per atom; magnetization = 0.00 Bohr magnetons per cell; energy relative to the elements = -0.3487 eV/atom
1.0
3.231 0.000 0.000
0.000 6.983 -0.032
0.000 -0.716 8.951
Zn Sc Ga
5 4 2
Direct
0.000 0.561 0.292 Zn
0.000 0.439 0.708 Zn
0.000 0.808 0.840 Zn
0.000 0.500 0.000 Zn
0.000 0.192 0.160 Zn
0.500 0.277 0.437 Sc
0.500 0.168 0.887 Sc
0.500 0.832 0.113 Sc
0.500 0.723 0.563 Sc
0.000 0.063 0.637 Ga
0.000 0.937 0.363 Ga



# 11
Sc6Zn3Ga | the Alexandria database | PBE | relaxed; energy = -4.81 eV per atom; magnetization = 0.00 Bohr magnetons per cell; energy relative to the elements = -0.3274 eV/atom
1.0
-1.070 4.408 1.330
-8.014 -1.264 -2.255
0.809 -2.837 10.052
Zn Sc Ga
6 12 2
Direct
0.750 0.473 0.622 Zn
0.250 0.384 0.781 Zn
0.750 0.616 0.219 Zn
0.750 0.227 0.031 Zn
0.250 0.527 0.378 Zn
0.250 0.773 0.969 Zn
0.750 0.870 0.829 Sc
0.250 0.469 0.094 Sc
0.250 0.245 0.500 Sc
0.750 0.161 0.682 Sc
0.750 0.755 0.500 Sc
0.750 0.885 0.116 Sc
0.250 0.839 0.318 Sc
0.250 0.130 0.171 Sc
0.750 0.351 0.327 Sc
0.250 0.115 0.884 Sc
0.750 0.531 0.906 Sc
0.250 0.649 0.673 Sc
0.250 0.952 0.614 Ga
0.750 0.048 0.386 Ga



# 12
Sc6Zn2Ga | the Alexandria database | PBE | relaxed; energy = -5.12 eV per atom; magnetization = 0.00 Bohr magnetons per cell; energy relative to the elements = -0.2840 eV/atom
1.0
-5.579 -4.355 3.552
6.881 -1.141 3.749
-1.814 7.702 0.287
Ga Zn Sc
2 4 12
Direct
0.000 0.000 0.000 Ga
0.000 0.500 0.500 Ga
0.360 0.000 0.360 Zn
0.640 0.000 0.640 Zn
0.500 0.368 0.868 Zn
0.500 0.632 0.132 Zn
0.277 0.599 0.322 Sc
0.087 0.266 0.821 Sc
0.277 0.955 0.678 Sc
0.555 0.734 0.821 Sc
0.199 0.248 0.447 Sc
0.801 0.752 0.553 Sc
0.445 0.266 0.179 Sc
0.723 0.045 0.322 Sc
0.913 0.734 0.179 Sc
0.199 0.752 0.951 Sc
0.801 0.248 0.049 Sc
0.723 0.401 0.678 Sc



# 13
Sc2ZnGa | the Alexandria database | PBE | relaxed; energy = -4.21 eV per atom; magnetization = 0.00 Bohr magnetons per cell; ΔE to the lowest computed polymorph = 545 meV/atom; energy relative to the elements = 0.0280 eV/atom
1.0
-2.437 -1.954 0.724
0.319 -2.159 2.349
-4.112 5.332 7.646
Ga Zn Sc
1 1 2
Direct
0.500 0.500 0.500 Ga
0.000 0.000 0.000 Zn
0.904 0.904 0.287 Sc
0.096 0.096 0.713 Sc



# 14
Sc3ZnGa | the Alexandria database | PBE | relaxed; energy = -5.06 eV per atom; magnetization = 0.00 Bohr magnetons per cell; ΔE to the lowest computed polymorph = 0 meV/atom; energy relative to the elements = -0.4010 eV/atom
1.0
-1.656 3.485 2.608
-2.449 1.560 -3.640
-7.994 -3.569 3.850
Ga Sc Zn
2 6 2
Direct
0.483 0.750 0.683 Ga
0.166 0.250 0.317 Ga
0.259 0.750 0.130 Sc
0.389 0.250 0.870 Sc
0.074 0.750 0.500 Sc
0.574 0.250 0.500 Sc
0.760 0.250 0.128 Sc
0.888 0.750 0.872 Sc
0.981 0.250 0.686 Zn
0.667 0.750 0.314 Zn



# 15
Sc4Zn2Ga5 | the Alexandria database | PBE | relaxed; energy = -4.38 eV per atom; magnetization = 0.00 Bohr magnetons per cell; energy relative to the elements = -0.4697 eV/atom
1.0
-2.672 -0.131 -1.724
-2.912 -4.167 4.830
-2.880 7.637 3.883
Sc Ga Zn
4 5 2
Direct
0.500 0.720 0.563 Sc
0.500 0.280 0.437 Sc
0.500 0.174 0.889 Sc
0.500 0.826 0.111 Sc
0.000 0.186 0.165 Ga
0.000 0.567 0.300 Ga
0.000 0.814 0.835 Ga
0.000 0.500 0.000 Ga
0.000 0.433 0.700 Ga
0.000 0.939 0.367 Zn
0.000 0.061 0.633 Zn



# 16
Sc8ZnGa2 | the Alexandria database | PBE | relaxed; energy = -5.55 eV per atom; magnetization = 0.00 Bohr magnetons per cell; energy relative to the elements = -0.2793 eV/atom
1.0
4.677 0.000 0.000
0.000 6.280 0.248
-2.339 -2.379 8.025
Sc Ga Zn
8 2 1
Direct
0.022 0.768 0.044 Sc
0.407 0.538 0.815 Sc
0.798 0.703 0.597 Sc
0.202 0.297 0.403 Sc
0.341 0.036 0.681 Sc
0.659 0.964 0.319 Sc
0.593 0.462 0.185 Sc
0.978 0.232 0.956 Sc
0.812 0.268 0.625 Ga
0.188 0.732 0.375 Ga
0.500 0.000 0.000 Zn



# 17
Sc2ZnGa3 | the Alexandria database | PBE | relaxed; energy = -4.38 eV per atom; magnetization = 0.00 Bohr magnetons per cell; energy relative to the elements = -0.5458 eV/atom
1.0
-2.317 -0.117 -4.911
-0.298 -5.073 1.917
-5.330 4.154 4.592
Sc Ga Zn
4 6 2
Direct
0.250 0.750 0.500 Sc
0.751 0.751 0.000 Sc
0.750 0.250 0.500 Sc
0.249 0.249 0.000 Sc
0.665 0.168 0.832 Ga
0.168 0.168 0.336 Ga
0.832 0.832 0.664 Ga
0.335 0.832 0.168 Ga
0.832 0.335 0.168 Ga
0.168 0.665 0.832 Ga
0.667 0.667 0.333 Zn
0.333 0.333 0.667 Zn



# 18
Sc5ZnGa4 | the Alexandria database | PBE | relaxed; energy = -5.06 eV per atom; magnetization = 0.00 Bohr magnetons per cell; energy relative to the elements = -0.5592 eV/atom
1.0
3.346 0.000 0.000
0.000 3.346 0.000
0.000 0.000 16.833
Sc Zn Ga
5 1 4
Direct
0.500 0.500 0.500 Sc
0.500 0.500 0.299 Sc
0.500 0.500 0.701 Sc
0.500 0.500 0.902 Sc
0.500 0.500 0.098 Sc
0.000 0.000 0.000 Zn
0.000 0.000 0.601 Ga
0.000 0.000 0.803 Ga
0.000 0.000 0.197 Ga
0.000 0.000 0.399 Ga



# 19
Sc3ZnGa4 | the Alexandria database | PBE | relaxed; energy = -4.41 eV per atom; magnetization = 0.00 Bohr magnetons per cell; energy relative to the elements = -0.3587 eV/atom
1.0
-0.241 2.789 -1.451
-4.855 -1.846 -2.741
-2.142 2.430 8.451
Sc Zn Ga
3 1 4
Direct
0.000 0.500 0.000 Sc
0.229 0.229 0.458 Sc
0.771 0.771 0.542 Sc
0.500 0.000 0.000 Zn
0.622 0.854 0.244 Ga
0.378 0.609 0.756 Ga
0.622 0.391 0.244 Ga
0.378 0.146 0.756 Ga



# 20
Sc2ZnGa4 | the Alexandria database | PBE | relaxed; energy = -3.67 eV per atom; magnetization = 0.00 Bohr magnetons per cell; ΔE to the lowest computed polymorph = 425 meV/atom; energy relative to the elements = 0.0461 eV/atom
1.0
-0.506 0.369 4.649
-4.661 -0.177 -0.494
-2.381 -6.824 2.649
Sc Ga Zn
2 4 1
Direct
0.377 0.377 0.246 Sc
0.623 0.623 0.754 Sc
0.000 0.500 0.000 Ga
0.180 0.180 0.640 Ga
0.500 0.000 0.000 Ga
0.820 0.820 0.360 Ga
0.000 0.000 0.000 Zn